A geometry-optimized Sm6YTh structure. Source: Alexandria, functional PBE-GGA.

a = 5.1128 Å, b = 5.1128 Å, c = 10.2027 Å
α = 90.00°, β = 90.00°, γ = 90.00°
With the nearest neighbours (Å) after each atom.
Fractional positions:
Sm (0.0000, 0.0000, 0.0000)  8 Sm 3.59, 4 Th 3.62
Sm (0.0000, 0.0000, 0.5000)  4 Y 3.62, 8 Sm 3.63
Sm (0.0000, 0.5000, 0.2471)  2 Th 3.59, 8 Sm 3.59-3.63, 2 Y 3.63
Sm (0.0000, 0.5000, 0.7529)  2 Th 3.59, 8 Sm 3.59-3.63, 2 Y 3.63
Sm (0.5000, 0.0000, 0.2471)  2 Th 3.59, 8 Sm 3.59-3.63, 2 Y 3.63
Sm (0.5000, 0.0000, 0.7529)  2 Th 3.59, 8 Sm 3.59-3.63, 2 Y 3.63
Y (0.5000, 0.5000, 0.5000)  12 Sm 3.62-3.63
Th (0.5000, 0.5000, 0.0000)  12 Sm 3.59-3.62

Summary:
As for the calculated density: 7.6 g cm⁻³. The energy relative to the lowest polymorph listed for this composition comes out at 0.0 meV per atom. The calculation puts the final energy at -5.238 eV per atom. Its space group is No. 123.